[1]
TbPmNdY3 (PBE, relaxed); E = -33.43 eV per formula unit; calculated formation energy = 0.02 eV per atom
1.0
2.547 -7.641 0.000
2.547 7.641 0.000
0.000 0.000 10.190
Tb Pm Nd Y
2 2 2 6
direct
0.167 0.833 0.750 Tb
0.833 0.167 0.250 Tb
0.499 0.501 0.250 Pm
0.501 0.499 0.750 Pm
0.000 0.000 0.000 Nd
0.000 0.000 0.500 Nd
0.168 0.832 0.250 Y
0.332 0.668 0.000 Y
0.332 0.668 0.500 Y
0.668 0.332 0.000 Y
0.668 0.332 0.500 Y
0.832 0.168 0.750 Y

[2]
YErLu2 (PBE, relaxed); E = -19.94 eV per formula unit; calculated formation energy = 0.03 eV per atom
1.0
3.503 0.000 0.000
0.000 3.503 0.000
0.000 0.000 9.891
Y Er Lu
1 1 2
direct
0.000 0.000 0.000 Y
0.000 0.000 0.500 Er
0.500 0.500 0.253 Lu
0.500 0.500 0.747 Lu

[3]
K3Er2PaTe6 (PBE, relaxed); energy relative to the elements, uncorrected = -1.203 eV per atom; E = -55.20 eV per formula unit
1.0
3.862 -6.689 0.000
3.862 6.689 0.000
-2.575 0.000 8.299
K Er Pa Te
3 2 1 6
direct
0.000 0.000 0.000 K
0.334 0.666 0.000 K
0.666 0.334 0.000 K
0.167 0.833 0.500 Er
0.833 0.167 0.500 Er
0.500 0.500 0.500 Pa
0.093 0.430 0.290 Te
0.233 0.233 0.710 Te
0.430 0.093 0.290 Te
0.570 0.907 0.710 Te
0.767 0.767 0.290 Te
0.907 0.570 0.710 Te

[4]
SiMo2Br (PBE, relaxed); energy relative to the elements, uncorrected = 0.547 eV per atom; E = -26.57 eV per formula unit
1.0
-1.515 2.200 4.868
1.515 -2.200 4.868
1.515 2.200 -4.868
Si Mo Br
1 2 1
direct
0.000 0.000 0.000 Si
0.513 0.513 0.000 Mo
0.784 0.284 0.500 Mo
0.283 0.783 0.500 Br

[5]
LaYErTh (PBE, relaxed); E = -22.92 eV per formula unit; calculated formation energy = 0.11 eV per atom
1.0
0.000 4.048 4.048
4.048 0.000 4.048
4.048 4.048 0.000
La Y Er Th
1 1 1 1
direct
0.000 0.000 0.000 La
0.250 0.250 0.250 Y
0.750 0.750 0.750 Er
0.500 0.500 0.500 Th

[6]
PuTiInCl6 (PBE, relaxed); energy relative to the elements, uncorrected = -1.537 eV per atom; E = -49.88 eV per formula unit
1.0
6.705 0.000 0.000
-3.352 5.806 0.000
0.000 0.000 14.509
Pu Ti In Cl
2 2 2 12
direct
0.333 0.667 0.250 Pu
0.667 0.333 0.750 Pu
0.333 0.667 0.750 Ti
0.667 0.333 0.250 Ti
0.000 0.000 0.000 In
0.000 0.000 0.500 In
0.031 0.372 0.648 Cl
0.031 0.660 0.852 Cl
0.340 0.372 0.852 Cl
0.340 0.969 0.648 Cl
0.372 0.031 0.148 Cl
0.372 0.340 0.352 Cl
0.628 0.660 0.648 Cl
0.628 0.969 0.852 Cl
0.660 0.031 0.352 Cl
0.660 0.628 0.148 Cl
0.969 0.340 0.148 Cl
0.969 0.628 0.352 Cl

[7]
CsTmTl2Cl6 (PBE, relaxed); energy relative to the elements, uncorrected = -1.752 eV per atom; E = -38.65 eV per formula unit
1.0
7.940 0.000 0.000
3.969 6.886 0.000
3.969 2.295 6.851
Cs Tm Tl Cl
1 1 2 6
direct
0.000 0.000 0.000 Cs
0.514 0.514 0.459 Tm
0.205 0.205 0.385 Tl
0.718 0.717 0.847 Tl
0.182 0.735 0.663 Cl
0.341 0.584 0.216 Cl
0.420 0.182 0.663 Cl
0.584 0.859 0.216 Cl
0.736 0.420 0.663 Cl
0.859 0.342 0.215 Cl

[8]
HfCr2GaTe (PBE, relaxed); energy relative to the elements, uncorrected = 1.060 eV per atom; E = -30.07 eV per formula unit
1.0
4.616 0.000 0.000
0.000 4.616 0.000
0.000 0.000 5.300
Hf Cr Ga Te
1 2 1 1
direct
0.000 0.000 0.000 Hf
0.000 0.500 0.500 Cr
0.500 0.000 0.500 Cr
0.500 0.500 0.500 Ga
0.500 0.500 0.000 Te